[1]
First-principles (SCAN) data for a crystal of Al2ReAu relaxed with PBEsol, as listed in the Alexandria database.

As for the density: 11.912 Mg/m³. The value obtained for the calculated volume is 15.234 Å³/atom. For the calculated total energy, the calculation gives -39.119 eV per atom. The offset from the most stable computed form is 0.98 eV per formula unit. As for the energy of formation from the pure elements: -17.31 kJ per mole of atoms.

It has space group Cmmm (No. 65), with a = 3.101 Å, b = 4.688 Å, c = 8.384 Å, α = 90.00°, β = 90.00° and γ = 90.00°. Symmetry generates all atoms from Al at (0.000, 0.000, 0.239), Re at (0.000, 0.500, 0.000) and Au at (0.000, 0.500, 0.500).



[2]
First-principles (SCAN) data for a crystal of AlReAu2 relaxed with PBEsol, as listed in the Alexandria database.

As for the density: 16.178 Mg/m³. The value obtained for the calculated volume is 15.579 Å³/atom. For the calculated total energy, the calculation gives -54.097 eV per atom. As for the energy of formation from the pure elements: 18.65 kJ per mole of atoms.

It has space group Pmmm (No. 47), with a = 2.752 Å, b = 3.976 Å, c = 5.695 Å, α = 90.00°, β = 90.00° and γ = 90.00°. Symmetry generates all atoms from Al at (0.000, 0.000, 0.000), Re at (0.000, 0.000, 0.500) and Au at (0.500, 0.500, 0.247).



[3]
First-principles (SCAN) data for a crystal of AlRe2SnAu relaxed with PBEsol, as listed in the Alexandria database.

As for the density: 9.944 Mg/m³. The value obtained for the calculated volume is 23.882 Å³/atom. For the calculated total energy, the calculation gives -48.742 eV per atom. As for the energy of formation from the pure elements: 218.32 kJ per mole of atoms.

It has space group P4/mmm (No. 123), with a = 4.955 Å, b = 4.955 Å, c = 4.863 Å, α = 90.00°, β = 90.00° and γ = 90.00°. Symmetry generates all atoms from Al at (0.000, 0.000, 0.000), Re at (0.000, 0.500, 0.500), Sn at (0.500, 0.500, 0.000) and Au at (0.500, 0.500, 0.500).